First-principles (PBE) data for SrLi2Co after structural relaxation, as listed in the Alexandria database.

The structure in POSCAR format:
```
SrLi2Co
1.0
-3.7485 -1.1661 -2.8566
1.7030 -2.7852 -1.0978
-1.7152 -3.4815 3.6719
Co Li Sr
1 2 1
Direct
0.5000 0.7500 0.7500 Co
0.0000 0.9485 0.9299 Li
0.0000 0.5515 0.5701 Li
0.5000 0.2500 0.2500 Sr
```

Results
For the spin magnetization, the calculation gives 1.027 μB per formula unit. The calculation puts the energy relative to the elements at 0.43 eV per atom. The energy above the most stable polymorph in this dataset comes out at 0.0910 eV per atom. Its calculated total energy is -2.723 eV per atom.